Material: Rb3LiV2O8
Method: DFT, PBE+U
State: relaxed

Computed properties:
Total magnetization   2.02 μB per formula unit
Space group   P-3m1 (164)
Fermi-level density of states   11.3 states/eV/cell
E_tot   -5.942 eV/atom

Unit cell a=6.0348 b=6.0348 c=7.8815 alpha=90.00 beta=90.00 gamma=120.00
Fractional coordinates of all 14 atoms:
Rb 0.0000 0.0000 0.0000
Rb 0.3333 0.6667 0.6793
Rb 0.6667 0.3333 0.3207
Li 0.0000 0.0000 0.5000
V 0.3333 0.6667 0.2538
V 0.6667 0.3333 0.7462
O 0.1761 0.3522 0.3295
O 0.1761 0.8239 0.3295
O 0.3333 0.6667 0.0344
O 0.3522 0.1761 0.6705
O 0.6478 0.8239 0.3295
O 0.6667 0.3333 0.9656
O 0.8239 0.1761 0.6705
O 0.8239 0.6478 0.6705